No. 1
# K2Rb3Au4

Crystalline K2Rb3Au4 at its relaxed geometry (PBE, Alexandria).

The total energy comes out at -2.27 eV/atom. For the theoretical density, the calculation gives 5.250 g/cm3.

The structure belongs to space group C2/m (No. 12); the cell edges are 17.872, 5.386 and 7.573 Å and the angles 90.00°, 103.10° and 90.00°. The inequivalent atoms are K at (0.154, 0.000, 0.072), Rb at (0.000, 0.500, 0.000), Rb at (0.125, 0.500, 0.560), Au at (0.001, 0.000, 0.690) and Au at (0.244, 0.500, 0.247).

=====

No. 2
# K8RbAu2

Crystalline K8RbAu2 at its relaxed geometry (PBE, Alexandria).

The total energy comes out at -1.58 eV/atom. For the theoretical density, the calculation gives 2.017 g/cm3.

The structure belongs to space group C2/m (No. 12); the cell edges are 20.176, 9.519 and 6.799 Å and the angles 90.00°, 92.67° and 90.00°. The inequivalent atoms are K at (0.080, 0.000, 0.320), K at (0.143, 0.267, 0.903), K at (0.228, 0.500, 0.404), Rb at (0.000, 0.500, 0.500) and Au at (0.230, 0.000, 0.101).

=====

No. 3
# KRbAu

Crystalline KRbAu at its relaxed geometry (PBE, Alexandria).

Its relative energy among the computed polymorphs is 3 meV per atom. For the theoretical density, the calculation gives 3.785 g/cm3.

The structure belongs to space group I4mm (No. 107); the cell edges are 4.194, 4.194 and 16.037 Å and the angles 90.00°, 90.00° and 90.00°. The inequivalent atoms are K at (0.000, 0.000, 0.000), Rb at (0.000, 0.000, 0.760) and Au at (0.000, 0.000, 0.388).

=====

No. 4
# KRb8Au6

Crystalline KRb8Au6 at its relaxed geometry (PBE, Alexandria).

The total energy comes out at -2.13 eV/atom. For the theoretical density, the calculation gives 4.847 g/cm3.

The structure belongs to space group R-3 (No. 148, hexagonal axes); the cell edges are 10.2298, 10.2298 and 21.5982 Å and the angles 90.00°, 90.00° and 120.00°. The inequivalent atoms are K at (0.0000, 0.0000, 0.0000), Rb at (0.0000, 0.0000, 0.3337), Rb at (0.0004, 0.3342, 0.8932) and Au at (0.9997, 0.3283, 0.0594).